# 1
# LiPb2Se (GGA-PBEsol, relaxed)
# - volume (A^3/atom) = 24.40
# - SG = Cmmm, No. 65
# - ΔE_f (raw) (kJ/mol of atoms) = -25.7
data_LiPb2Se
_chemical_formula_sum 'Li1 Pb2 Se1'
_cell_length_a 3.722
_cell_length_b 5.172
_cell_length_c 5.172
_cell_angle_alpha 101.33
_cell_angle_beta 90.00
_cell_angle_gamma 90.00
_symmetry_space_group_name_H-M 'P 1'
_symmetry_Int_Tables_number 1
loop_
_symmetry_equiv_pos_as_xyz
'x,y,z'
loop_
_atom_site_label
_atom_site_type_symbol
_atom_site_fract_x
_atom_site_fract_y
_atom_site_fract_z
Pb1 Pb 0.000 0.500 0.000
Pb2 Pb 0.000 0.000 0.500
Li1 Li 0.500 0.500 0.500
Se1 Se 0.500 0.000 0.000

=====

# 2
# LiMg2Co (GGA-PBEsol, relaxed)
# - volume (A^3/atom) = 15.58
# - SG = Cm, No. 8
# - formation enthalpy at 0 K (eV/atom) = 0.1696
data_LiMg2Co
_chemical_formula_sum 'Li1 Mg2 Co1'
_cell_length_a 2.894
_cell_length_b 4.635
_cell_length_c 5.102
_cell_angle_alpha 107.49
_cell_angle_beta 106.47
_cell_angle_gamma 90.00
_symmetry_space_group_name_H-M 'P 1'
_symmetry_Int_Tables_number 1
loop_
_symmetry_equiv_pos_as_xyz
'x,y,z'
loop_
_atom_site_label
_atom_site_type_symbol
_atom_site_fract_x
_atom_site_fract_y
_atom_site_fract_z
Co1 Co 0.509 0.466 0.018
Li1 Li 0.224 0.759 0.448
Mg1 Mg 0.774 0.312 0.547
Mg2 Mg 0.993 0.963 0.987